# 1
A relaxed KTlHg2 crystal, computed with GGA-PBE.

Unit cell a=3.7887 b=4.3882 c=7.5954 alpha=90.00 beta=90.08 gamma=90.00
Sites, in units of the cell vectors:
K  0.0000  0.0000  0.0000
Tl  0.0000  0.0000  0.5000
Hg  0.4963  0.5000  0.7227
Hg  0.5037  0.5000  0.2773

Properties
space group	P2/m, No. 10
energy relative to the elements	-161	meV/atom
polymorph energy (0 for the lowest one)	3	meV per atom

# 2
A relaxed K2Tl2Hg crystal, computed with GGA-PBE.

Unit cell a=6.8525 b=6.8525 c=11.1645 alpha=109.44 beta=109.44 gamma=48.68
Sites, in units of the cell vectors:
K  0.1160  0.1160  0.3885
K  0.1708  0.1708  0.0402
K  0.8292  0.8292  0.9598
K  0.8840  0.8840  0.6115
Tl  0.4091  0.4091  0.3564
Tl  0.4793  0.4793  0.8545
Tl  0.5207  0.5207  0.1455
Tl  0.5909  0.5909  0.6436
Hg  0.2128  0.2128  0.7271
Hg  0.7872  0.7872  0.2729

Properties
space group	C2/m, No. 12
energy relative to the elements	-151	meV/atom
polymorph energy (0 for the lowest one)	0	meV per atom

# 3
A relaxed KTl3Hg6 crystal, computed with GGA-PBE.

Unit cell a=9.4233 b=12.1546 c=5.3867 alpha=90.00 beta=90.00 gamma=90.00
Sites, in units of the cell vectors:
K  0.0000  0.0000  0.0000
K  0.5000  0.5000  0.5000
Tl  0.0000  0.5000  0.5000
Tl  0.2024  0.4604  0.0000
Tl  0.2976  0.9604  0.5000
Tl  0.5000  0.0000  0.0000
Tl  0.7024  0.0396  0.5000
Tl  0.7976  0.5396  0.0000
Hg  0.0607  0.7169  0.0000
Hg  0.0805  0.1777  0.5000
Hg  0.2285  0.6979  0.5000
Hg  0.2715  0.1979  0.0000
Hg  0.4195  0.6777  0.0000
Hg  0.4393  0.2169  0.5000
Hg  0.5607  0.7831  0.5000
Hg  0.5805  0.3223  0.0000
Hg  0.7285  0.8021  0.0000
Hg  0.7715  0.3021  0.5000
Hg  0.9195  0.8223  0.5000
Hg  0.9393  0.2831  0.0000

Properties
space group	Pnnm, No. 58
energy relative to the elements	-56	meV/atom

# 4
A relaxed KTl4Hg6 crystal, computed with GGA-PBE.

Unit cell a=8.2368 b=8.2368 c=8.2368 alpha=123.65 beta=123.65 gamma=83.79
Sites, in units of the cell vectors:
K  0.0000  0.0000  0.0000
Tl  0.2367  0.5532  0.0000
Tl  0.4468  0.4468  0.6835
Tl  0.5532  0.2367  0.0000
Tl  0.7633  0.7633  0.3165
Hg  0.0000  0.5000  0.5000
Hg  0.0912  0.0912  0.5127
Hg  0.4215  0.9088  0.0000
Hg  0.5000  0.0000  0.5000
Hg  0.5785  0.5785  0.4873
Hg  0.9088  0.4215  0.0000

Properties
space group	I-42m, No. 121
energy relative to the elements	8	meV/atom

energy relative to the elements of number 2 (K2Tl2Hg)?
-151 meV/atom

The highest energy relative to the elements belongs to which entry?
KTl4Hg6